Record 1
## CrGeSe (PBE)

Data for crystalline CrGeSe at its relaxed geometry.

* space-group type: No. 166
* final energy: -6.030 eV/atom

a = 3.092 Å, b = 3.092 Å, c = 13.059 Å
α = 83.20°, β = 83.20°, γ = 60.00°
Site moments in Bohr magnetons follow the coordinates.
Positions (direct):
Cr: 0.576 0.576 0.272  0.48
Cr: 0.424 0.424 0.728  0.48
Se: 0.283 0.283 0.150  -0.04
Se: 0.717 0.717 0.850  -0.04
Ge: 0.862 0.862 0.414  -0.01
Ge: 0.138 0.138 0.586  -0.01

---

Record 2
## TeRhPb2 (PBE)

Data for crystalline TeRhPb2 at its relaxed geometry.

* space-group type: No. 6
* final energy: -4.591 eV/atom

a = 4.296 Å, b = 5.318 Å, c = 5.638 Å
α = 62.76°, β = 90.00°, γ = 90.00°
Positions (direct):
Te: 0.500 0.321 0.349
Rh: 0.000 0.492 0.022
Pb: 0.000 0.022 0.960
Pb: 0.500 0.665 0.669

---

Record 3
## Nd6Ag2Os (PBE)

Data for crystalline Nd6Ag2Os at its relaxed geometry.

* ΔE_f: -0.10 eV per atom
* space-group type: No. 14

a = 6.660 Å, b = 7.898 Å, c = 10.605 Å
α = 90.00°, β = 87.24°, γ = 90.00°
Positions (direct):
Nd: 0.871 0.977 0.252
Nd: 0.832 0.680 0.552
Nd: 0.855 0.678 0.937
Nd: 0.645 0.178 0.563
Nd: 0.668 0.180 0.948
Nd: 0.629 0.477 0.248
Nd: 0.129 0.023 0.748
Nd: 0.168 0.320 0.448
Nd: 0.145 0.322 0.063
Nd: 0.355 0.822 0.437
Nd: 0.332 0.820 0.052
Nd: 0.371 0.523 0.752
Ag: 0.927 0.385 0.747
Ag: 0.573 0.885 0.753
Ag: 0.427 0.115 0.247
Ag: 0.073 0.615 0.253
Os: 0.500 0.500 0.000
Os: 0.000 0.000 0.500